1.
A plane-wave DFT calculation with GGA+U was carried out for TiCoNF2 after structural relaxation.

Unit cell a=3.938 b=3.938 c=3.961 alpha=90.00 beta=90.00 gamma=90.00
Sites, in units of the cell vectors:
Ti  0.000  0.000  0.000
Co  0.500  0.500  0.500
N  0.000  0.000  0.500
F  0.000  0.500  0.000
F  0.500  0.000  0.000

2.
A plane-wave DFT calculation with GGA+U was carried out for TiCoNF2 after structural relaxation.

Unit cell a=3.723 b=3.723 c=3.976 alpha=90.00 beta=90.00 gamma=90.00
Sites, in units of the cell vectors:
Ti  0.000  0.000  0.000
Co  0.500  0.500  0.500
N  0.500  0.500  0.000
F  0.000  0.500  0.500
F  0.500  0.000  0.500

3.
A plane-wave DFT calculation with GGA+U was carried out for VCoN2F after structural relaxation.

Unit cell a=3.842 b=3.842 c=3.783 alpha=90.00 beta=90.00 gamma=90.00
Sites, in units of the cell vectors:
V  0.000  0.000  0.000
Co  0.500  0.500  0.500
N  0.000  0.500  0.000
N  0.500  0.000  0.000
F  0.000  0.000  0.500

4.
A plane-wave DFT calculation with GGA+U was carried out for VCoN2F after structural relaxation.

Unit cell a=4.162 b=4.162 c=3.432 alpha=90.00 beta=90.00 gamma=90.00
Sites, in units of the cell vectors:
V  0.000  0.000  0.000
Co  0.500  0.500  0.000
N  0.000  0.500  0.500
N  0.500  0.000  0.500
F  0.500  0.500  0.500

5.
A plane-wave DFT calculation with GGA+U was carried out for VCoN2F after structural relaxation.

Unit cell a=3.717 b=3.717 c=3.703 alpha=90.00 beta=90.00 gamma=90.00
Sites, in units of the cell vectors:
V  0.000  0.000  0.000
Co  0.500  0.500  0.500
N  0.000  0.500  0.500
N  0.500  0.000  0.500
F  0.500  0.500  0.000

6.
A plane-wave DFT calculation with GGA+U was carried out for CoWN2F after structural relaxation.

Unit cell a=4.011 b=4.011 c=4.061 alpha=90.00 beta=90.00 gamma=90.00
Sites, in units of the cell vectors:
Co  0.000  0.000  0.000
W  0.500  0.500  0.500
N  0.000  0.500  0.500
N  0.500  0.000  0.500
F  0.500  0.500  0.000

7.
A plane-wave DFT calculation with GGA+U was carried out for CoWNF2 after structural relaxation.

Unit cell a=3.579 b=3.579 c=4.775 alpha=90.00 beta=90.00 gamma=90.00
Sites, in units of the cell vectors:
Co  0.000  0.000  0.000
W  0.500  0.500  0.500
N  0.000  0.000  0.500
F  0.000  0.500  0.000
F  0.500  0.000  0.000

8.
A plane-wave DFT calculation with GGA+U was carried out for CoWNF2 after structural relaxation.

Unit cell a=4.235 b=4.235 c=3.959 alpha=90.00 beta=90.00 gamma=90.00
Sites, in units of the cell vectors:
Co  0.000  0.000  0.000
W  0.500  0.500  0.500
N  0.500  0.500  0.000
F  0.000  0.500  0.500
F  0.500  0.000  0.500

no.,polymorph energy (0 for the lowest one) (meV per atom)
1,0.0
2,641.9
3,0.0
4,1512.3
5,520.8
6,0.0
7,172.5
8,0.0